[1]
A relaxed structure of AlZnMo2, computed with PBE.

Summary:
E_form: 19 meV/atom
Crystal system: tetragonal
V: 15.19 Å³ per atom

```
4
Lattice="2.6920 0.0000 0.0000 0.0000 2.6920 0.0000 0.0000 0.0000 8.3857" Properties=species:S:1:pos:R:3 pbc="T T T"
Al 0.0000 0.0000 0.0000
Zn 0.0000 0.0000 4.1929
Mo 1.3460 1.3460 2.0762
Mo 1.3460 1.3460 6.3095
```

---

[2]
A relaxed structure of InSi2, computed with PBE.

Summary:
Crystal system: trigonal
Formation energy from raw total energies: 235 meV per atom
V: 21.21 Å³ per atom

```
3
Lattice="3.7796 0.0000 0.0000 -1.8898 3.2732 0.0000 0.0000 0.0000 5.1444" Properties=species:S:1:pos:R:3 pbc="T T T"
In 0.0000 0.0000 0.0000
Si 0.0000 2.1822 2.0943
Si 1.8898 1.0911 3.0501
```

---

[3]
A relaxed structure of Ni7SnTe2H2, computed with PBE.

Summary:
Crystal system: orthorhombic
V: 12.23 Å³ per atom
DFT total energy: -58.9 eV per cell

```
12
Lattice="0.0000 2.6979 10.1076 2.6915 0.0000 10.1076 2.6915 2.6979 0.0000" Properties=species:S:1:pos:R:3 pbc="T T T"
Ni 0.0000 0.0000 0.0000
Ni 1.3457 1.3490 1.8656
Ni 2.6915 2.6979 3.6062
Ni 1.3457 1.3490 8.2420
Ni 4.0372 4.0469 11.9732
Ni 2.6915 2.6979 16.6089
Ni 4.0372 4.0469 18.3496
Sn 2.6915 2.6979 10.1076
Te 2.6915 2.6979 6.2568
Te 2.6915 2.6979 13.9584
H 2.6915 2.6979 1.7940
H 2.6915 2.6979 18.4211
```

---

[4]
A relaxed structure of KBaHg2Au2, computed with PBE.

Summary:
E_form: -461 meV/atom
Crystal system: trigonal
V: 31.52 Å³ per atom

```
6
Lattice="5.0190 0.0000 0.0000 -2.5095 4.3466 0.0000 0.0000 0.0000 8.6690" Properties=species:S:1:pos:R:3 pbc="T T T"
K 0.0000 0.0000 0.0000
Ba 0.0000 0.0000 4.3345
Hg 0.0000 2.8977 6.4998
Hg 2.5095 1.4489 2.1692
Au 0.0000 2.8977 2.4197
Au 2.5095 1.4489 6.2493
```

---

[5]
A relaxed structure of ErPa2Ge, computed with PBE.

Summary:
E_form: -112 meV/atom
Crystal system: tetragonal
V: 25.65 Å³ per atom

```
4
Lattice="3.9221 0.0000 0.0000 0.0000 3.9221 0.0000 0.0000 0.0000 6.6696" Properties=species:S:1:pos:R:3 pbc="T T T"
Er 0.0000 0.0000 0.0000
Pa 1.9611 1.9611 2.0266
Pa 1.9611 1.9611 4.6430
Ge 0.0000 0.0000 3.3348
```

---

[6]
A relaxed structure of AcInSn, computed with PBE.

Summary:
E_form: -547 meV/atom
Crystal system: trigonal
V: 32.67 Å³ per atom

```
3
Lattice="4.7961 0.0000 0.0000 -2.3980 4.1535 0.0000 0.0000 0.0000 4.9198" Properties=species:S:1:pos:R:3 pbc="T T T"
Ac 0.0000 0.0000 0.0000
In 0.0000 2.7690 2.9795
Sn 2.3980 1.3845 2.0288
```

---

[7]
A relaxed structure of LiMg3Sc2, computed with PBE.

Summary:
E_form: -43 meV/atom
Crystal system: tetragonal
V: 22.30 Å³ per atom

```
6
Lattice="3.4915 0.0000 0.0000 0.0000 3.4915 0.0000 0.0000 0.0000 10.9750" Properties=species:S:1:pos:R:3 pbc="T T T"
Li 0.0000 0.0000 0.0000
Mg 1.7458 1.7458 1.6714
Mg 1.7458 1.7458 5.4875
Mg 1.7458 1.7458 9.3035
Sc 0.0000 0.0000 3.6799
Sc 0.0000 0.0000 7.2951
```

---

[8]
A relaxed structure of GdHg, computed with PBE.

Summary:
E_form: -254 meV/atom
Crystal system: cubic
V: 30.27 Å³ per atom

```
2
Lattice="0.0000 3.1166 3.1166 3.1166 0.0000 3.1166 3.1166 3.1166 0.0000" Properties=species:S:1:pos:R:3 pbc="T T T"
Gd 0.0000 0.0000 0.0000
Hg 3.1166 3.1166 3.1166
```

---

[9]
A relaxed structure of Pa3Cd, computed with PBE.

Summary:
E_form: 111 meV/atom
Crystal system: orthorhombic
V: 24.60 Å³ per atom

```
4
Lattice="-1.5948 5.5278 2.7907 1.5948 -5.5278 2.7907 1.5948 5.5278 -2.7907" Properties=species:S:1:pos:R:3 pbc="T T T"
Pa 0.0000 0.0000 0.0000
Pa 1.5948 2.6604 0.0297
Pa 0.0000 2.8674 2.8204
Cd 1.5948 0.0000 2.7853
```

---

[10]
A relaxed structure of Ho2ThZn, computed with PBE.

Summary:
E_form: -167 meV/atom
Crystal system: tetragonal
V: 26.87 Å³ per atom

```
4
Lattice="3.5503 0.0000 0.0000 0.0000 3.5503 0.0000 0.0000 0.0000 8.5274" Properties=species:S:1:pos:R:3 pbc="T T T"
Ho 0.0000 0.0000 1.7931
Ho 0.0000 0.0000 6.7344
Th 1.7752 1.7752 4.2637
Zn 1.7752 1.7752 0.0000
```

---

[11]
A relaxed structure of Li2GaAu4, computed with PBE.

Summary:
E_form: -2 meV/atom
Crystal system: tetragonal
V: 22.87 Å³ per atom

```
7
Lattice="-2.4297 2.4297 6.7805 2.4297 -2.4297 6.7805 2.4297 2.4297 -6.7805" Properties=species:S:1:pos:R:3 pbc="T T T"
Li 0.0000 0.0000 1.6117
Li 0.0000 0.0000 11.9493
Ga 0.0000 0.0000 6.7805
Au 2.4297 0.0000 0.0000
Au 0.0000 0.0000 4.2017
Au 0.0000 2.4297 0.0000
Au 0.0000 0.0000 9.3593
```

---

[12]
A relaxed structure of BaHg2PdI, computed with PBE.

Summary:
Crystal system: tetragonal
Formation energy from raw total energies: -678 meV per atom
V: 34.98 Å³ per atom

```
5
Lattice="5.3494 0.0000 0.0000 0.0000 5.3494 0.0000 0.0000 0.0000 6.1125" Properties=species:S:1:pos:R:3 pbc="T T T"
Ba 0.0000 0.0000 0.0000
Hg 0.0000 2.6747 3.0562
Hg 2.6747 0.0000 3.0562
Pd 0.0000 0.0000 3.0562
I 2.6747 2.6747 0.0000
```